A plane-wave DFT calculation with PBE with a Hubbard U was carried out for crystalline NiMoO2 at its relaxed geometry.

Lattice parameters (Å, degrees): 4.3129 5.0603 5.2888 86.38 68.62 66.52
Closest atoms and distances in Å follow each position.
Sites, in units of the cell vectors:
Ni1 0.0000 0.0000 0.0000  4 O 2.05-2.14
Ni2 0.4308 0.2160 0.9279  2 O 2.11-2.29
Mo1 0.4093 0.8133 0.3555  4 O 1.96-2.18
Mo2 0.8060 0.6146 0.7517  5 O 2.10-2.22
O1 0.1248 0.1658 0.6104  2 Mo 1.96-2.14, 1 Ni 2.14
O2 0.3157 0.6058 0.7422  2 Ni 2.11-2.13, 3 Mo 2.15-2.22
O3 0.6768 0.4302 0.1234  2 Mo 2.02-2.10, 1 Ni 2.05
O4 0.9095 0.8039 0.3545  1 Ni 2.05, 3 Mo 2.14-2.22

Calculated values
Energy above the lowest structure with this stoichiometry (meV per atom): 0
Space-group type: P1 (1)
DOS(E_F) (states/eV per atom): 0.00